The following is a PBE-GGA calculation of crystalline TaTc2Os at its relaxed geometry, from Alexandria via LeMat-Bulk.

As for the density: 15.13 g/cm³. As for the energy above the most stable polymorph in this dataset: 82 meV/atom. As for the energy relative to the elements: 0.15 eV/f.u.

It has space group P4/mmm (No. 123), with a = 2.768 Å, b = 2.768 Å, c = 8.123 Å, α = 90.00°, β = 90.00° and γ = 90.00°. The distinct sites, in fractional coordinates, are Ta at (0.000, 0.000, 0.000), Tc at (0.500, 0.500, 0.271) and Os at (0.000, 0.000, 0.500).